1.
# HoTlNO, optimized geometry, DFT PBE-GGA
# DFT total energy = -6.18 eV per atom
# symmetry = Pmc2_1 (26)
data_HoTlNO
_symmetry_space_group_name_H-M 'P 1'
_symmetry_Int_Tables_number 1
_cell_length_a 3.8448
_cell_length_b 5.9943
_cell_length_c 6.5667
_cell_angle_alpha 90.00
_cell_angle_beta 90.00
_cell_angle_gamma 90.00
loop_
_symmetry_equiv_pos_as_xyz
'x,y,z'
loop_
_atom_site_label
_atom_site_type_symbol
_atom_site_fract_x
_atom_site_fract_y
_atom_site_fract_z
_atom_site_occupancy
O1 O 0.5000 0.9054 0.8031 1
Ho1 Ho 0.0000 0.9965 0.6724 1
Ho2 Ho 0.0000 0.4965 0.3276 1
Tl1 Tl 0.5000 0.4842 0.8200 1
N1 N 0.0000 0.3679 0.6452 1
N2 N 0.0000 0.8679 0.3548 1
Tl2 Tl 0.5000 0.9842 0.1800 1
O2 O 0.5000 0.4054 0.1969 1


2.
# HgSb2Br2O3, optimized geometry, DFT PBE-GGA
# DFT total energy = -4.26 eV per atom
# symmetry = P-1 (2)
data_HgSb2Br2O3
_symmetry_space_group_name_H-M 'P 1'
_symmetry_Int_Tables_number 1
_cell_length_a 5.8747
_cell_length_b 7.5809
_cell_length_c 8.3768
_cell_angle_alpha 88.13
_cell_angle_beta 83.46
_cell_angle_gamma 77.92
loop_
_symmetry_equiv_pos_as_xyz
'x,y,z'
loop_
_atom_site_label
_atom_site_type_symbol
_atom_site_fract_x
_atom_site_fract_y
_atom_site_fract_z
_atom_site_occupancy
O1 O 0.8168 0.6624 0.7577 1
Br1 Br 0.3333 0.8409 0.2008 1
Br2 Br 0.6667 0.1591 0.7992 1
O2 O 0.2163 0.4945 0.5275 1
O3 O 0.7919 0.4951 0.0586 1
Sb1 Sb 0.9456 0.7142 0.5333 1
O4 O 0.1832 0.3376 0.2423 1
Br3 Br 0.2736 0.8588 0.7044 1
Sb2 Sb 0.0753 0.2880 0.0319 1
O5 O 0.7837 0.5055 0.4725 1
Hg1 Hg 0.4925 0.5027 0.2703 1
O6 O 0.2081 0.5049 0.9414 1
Br4 Br 0.7264 0.1412 0.2956 1
Sb3 Sb 0.9247 0.7120 0.9681 1
Hg2 Hg 0.5075 0.4973 0.7297 1
Sb4 Sb 0.0544 0.2858 0.4667 1


3.
# Lu4Sc2Ga3C3, optimized geometry, DFT PBE-GGA
# DFT total energy = -6.11 eV per atom
# symmetry = C2/c (15)
data_Lu4Sc2Ga3C3
_symmetry_space_group_name_H-M 'P 1'
_symmetry_Int_Tables_number 1
_cell_length_a 5.9584
_cell_length_b 5.9584
_cell_length_c 15.1032
_cell_angle_alpha 101.33
_cell_angle_beta 101.33
_cell_angle_gamma 59.82
loop_
_symmetry_equiv_pos_as_xyz
'x,y,z'
loop_
_atom_site_label
_atom_site_type_symbol
_atom_site_fract_x
_atom_site_fract_y
_atom_site_fract_z
_atom_site_occupancy
Lu1 Lu 0.8044 0.9681 0.9079 1
Ga1 Ga 0.1348 0.8652 0.7500 1
Lu2 Lu 0.1334 0.3036 0.9078 1
C1 C 0.6656 0.1689 0.5000 1
Lu3 Lu 0.1956 0.0319 0.0921 1
Ga2 Ga 0.8652 0.1348 0.2500 1
Ga3 Ga 0.6864 0.5895 0.7502 1
C2 C 0.8311 0.3344 0.0000 1
C3 C 0.1689 0.6656 0.0000 1
Ga4 Ga 0.3136 0.4105 0.2498 1
Lu4 Lu 0.0319 0.1956 0.5921 1
Lu5 Lu 0.6964 0.8666 0.5922 1
Lu6 Lu 0.3036 0.1334 0.4078 1
Sc1 Sc 0.4735 0.6445 0.9223 1
Ga5 Ga 0.4105 0.3136 0.7498 1
Lu7 Lu 0.9681 0.8044 0.4079 1
Ga6 Ga 0.5895 0.6864 0.2502 1
Sc2 Sc 0.6445 0.4735 0.4223 1
Sc3 Sc 0.3555 0.5265 0.5777 1
Sc4 Sc 0.5265 0.3555 0.0777 1
Lu8 Lu 0.8666 0.6964 0.0922 1
C4 C 0.3344 0.8311 0.5000 1
C5 C 0.0000 0.5000 0.5000 1
C6 C 0.5000 0.0000 0.0000 1